# LaSc2Cu3 (GGA-PBE, optimized geometry)
# DFT total energy = -31.18 eV/cell
# ΔE_f = -0.217 eV per atom
data_LaSc2Cu3
_chemical_formula_sum 'La1 Sc2 Cu3'
_space_group_name_H-M_alt 'P 1'
_space_group_IT_number 1
_space_group_name_Hall 'P 1'
_cell_length_a 3.3416
_cell_length_b 3.3416
_cell_length_c 10.3752
_cell_angle_alpha 90.00
_cell_angle_beta 90.00
_cell_angle_gamma 90.00
loop_
_atom_site_label
_atom_site_fract_x
_atom_site_fract_y
_atom_site_fract_z
La1 0.5000 0.5000 0.5000
Sc1 0.5000 0.5000 0.8457
Sc2 0.5000 0.5000 0.1543
Cu1 0.0000 0.0000 0.0000
Cu2 0.0000 0.0000 0.7073
Cu3 0.0000 0.0000 0.2927



# La2ScCu (GGA-PBE, optimized geometry)
# DFT total energy = -19.53 eV/cell
# Excess energy over the best structure of this formula in the dataset = 0.246 eV/atom
# ΔE_f = 0.188 eV per atom
data_La2ScCu
_chemical_formula_sum 'La2 Sc1 Cu1'
_space_group_name_H-M_alt 'P 1'
_space_group_IT_number 1
_space_group_name_Hall 'P 1'
_cell_length_a 3.5998
_cell_length_b 5.4178
_cell_length_c 5.3504
_cell_angle_alpha 90.00
_cell_angle_beta 90.00
_cell_angle_gamma 90.00
loop_
_atom_site_label
_atom_site_fract_x
_atom_site_fract_y
_atom_site_fract_z
Cu1 0.0000 0.5000 0.5000
La1 0.0000 0.0000 0.0000
La2 0.5000 0.5000 0.0000
Sc1 0.5000 0.0000 0.5000